A relaxed Cu124Te crystal, computed with GGA-PBE.

electronic total energy: -0.136 Ha/atom
space-group type: Fm-3m

a b c (Å): 12.775 12.775 12.775
angles (deg): 60.00 60.00 60.00
Fractional coordinates of all 125 atoms:
Cu  0.208  0.792  0.000
Cu  0.208  0.000  0.792
Cu  0.600  0.400  0.200
Cu  0.000  0.201  0.598
Cu  0.799  0.000  0.402
Cu  0.200  0.400  0.600
Cu  0.800  0.200  0.600
Cu  0.402  0.000  0.000
Cu  0.200  0.400  0.800
Cu  0.202  0.798  0.202
Cu  0.200  0.600  0.800
Cu  0.400  0.800  0.400
Cu  0.201  0.000  0.598
Cu  0.600  0.600  0.200
Cu  0.200  0.600  0.600
Cu  0.800  0.800  0.800
Cu  0.000  0.598  0.000
Cu  0.799  0.402  0.000
Cu  0.400  0.400  0.800
Cu  0.800  0.600  0.000
Cu  0.400  0.000  0.200
Cu  0.600  0.200  0.600
Cu  0.800  0.400  0.200
Cu  0.000  0.402  0.799
Cu  0.400  0.200  0.800
Cu  0.600  0.600  0.000
Cu  0.800  0.800  0.600
Cu  0.000  0.400  0.200
Cu  0.000  0.600  0.600
Cu  0.000  0.792  0.000
Cu  0.000  0.402  0.000
Cu  0.402  0.799  0.799
Cu  0.400  0.400  0.600
Cu  0.202  0.798  0.798
Cu  0.000  0.200  0.400
Cu  0.798  0.202  0.798
Cu  0.600  0.800  0.800
Cu  0.792  0.000  0.000
Cu  0.600  0.600  0.600
Cu  0.208  0.000  0.000
Cu  0.402  0.799  0.000
Cu  0.000  0.792  0.208
Cu  0.000  0.000  0.402
Cu  0.200  0.400  0.000
Cu  0.800  0.200  0.400
Cu  0.598  0.201  0.000
Cu  0.600  0.200  0.400
Cu  0.798  0.202  0.202
Cu  0.000  0.799  0.799
Cu  0.400  0.200  0.000
Cu  0.600  0.800  0.600
Cu  0.402  0.598  0.000
Cu  0.600  0.400  0.400
Cu  0.799  0.799  0.402
Cu  0.402  0.000  0.598
Cu  0.800  0.600  0.600
Cu  0.600  0.600  0.400
Cu  0.598  0.402  0.000
Cu  0.000  0.000  0.792
Cu  0.200  0.800  0.400
Cu  0.598  0.000  0.000
Cu  0.201  0.201  0.000
Cu  0.400  0.600  0.800
Cu  0.000  0.208  0.792
Cu  0.400  0.600  0.600
Cu  0.400  0.400  0.200
Cu  0.200  0.200  0.400
Cu  0.202  0.202  0.798
Cu  0.000  0.402  0.598
Cu  0.800  0.600  0.800
Cu  0.598  0.000  0.402
Cu  0.400  0.000  0.400
Cu  0.600  0.800  0.000
Cu  0.000  0.800  0.600
Cu  0.201  0.201  0.598
Cu  0.799  0.402  0.799
Cu  0.200  0.600  0.400
Cu  0.600  0.600  0.800
Cu  0.000  0.400  0.400
Cu  0.400  0.200  0.200
Cu  0.000  0.799  0.402
Cu  0.400  0.200  0.400
Cu  0.400  0.600  0.200
Cu  0.000  0.598  0.402
Cu  0.600  0.800  0.400
Cu  0.799  0.799  0.000
Cu  0.598  0.000  0.201
Cu  0.200  0.800  0.600
Cu  0.800  0.400  0.400
Cu  0.200  0.000  0.400
Cu  0.000  0.201  0.201
Cu  0.402  0.000  0.799
Cu  0.400  0.600  0.400
Cu  0.800  0.000  0.600
Cu  0.000  0.598  0.201
Cu  0.200  0.200  0.200
Cu  0.800  0.600  0.200
Cu  0.792  0.000  0.208
Cu  0.400  0.800  0.200
Cu  0.600  0.000  0.600
Cu  0.000  0.600  0.800
Cu  0.000  0.000  0.598
Cu  0.200  0.400  0.200
Cu  0.799  0.000  0.799
Cu  0.400  0.200  0.600
Cu  0.400  0.800  0.600
Cu  0.000  0.000  0.208
Cu  0.600  0.000  0.800
Cu  0.600  0.800  0.200
Cu  0.792  0.208  0.000
Cu  0.201  0.000  0.201
Cu  0.000  0.208  0.000
Cu  0.400  0.400  0.400
Cu  0.201  0.598  0.201
Cu  0.798  0.798  0.202
Cu  0.400  0.400  0.000
Cu  0.600  0.200  0.800
Cu  0.600  0.400  0.800
Cu  0.200  0.400  0.400
Cu  0.800  0.400  0.600
Cu  0.598  0.201  0.201
Cu  0.201  0.598  0.000
Cu  0.800  0.600  0.400
Cu  0.600  0.400  0.600
Te  0.000  0.000  0.000

***

A relaxed BaNd2AgO5 crystal, computed with GGA-PBE.

electronic total energy: -0.248 Ha/atom
space-group type: P4/mbm
total moment: 1.0 μB/f.u.

a b c (Å): 6.747 6.747 6.087
angles (deg): 90.00 90.00 90.00
Last column: magnetic moment on the atom in μB.
Fractional coordinates of all 18 atoms:
O  0.148  0.352  0.744  0.13
O  0.000  0.000  0.500  0.01
O  0.148  0.352  0.256  0.13
O  0.648  0.148  0.256  0.12
O  0.352  0.852  0.256  0.13
O  0.852  0.648  0.744  0.13
O  0.352  0.852  0.744  0.12
O  0.852  0.648  0.256  0.13
O  0.500  0.500  0.500  0.01
O  0.648  0.148  0.744  0.13
Ag  0.000  0.500  0.000  0.37
Ag  0.500  0.000  0.000  0.37
Ba  0.500  0.500  0.000  -0.01
Ba  0.000  0.000  0.000  -0.01
Nd  0.829  0.329  0.500  0.03
Nd  0.329  0.171  0.500  0.03
Nd  0.171  0.671  0.500  0.03
Nd  0.671  0.829  0.500  0.03

***

A relaxed Y2HoNi9 crystal, computed with GGA-PBE.

ΔE_f: -406 meV/atom
space-group type: R-3m
total moment: 0.7 μB/f.u.

a b c (Å): 8.595 8.595 8.595
angles (deg): 33.45 33.45 33.45
Last column: magnetic moment on the atom in μB.
Fractional coordinates of all 12 atoms:
Ni  0.418  0.919  0.418  -0.11
Ni  0.582  0.582  0.081  -0.09
Ni  0.582  0.081  0.582  -0.11
Ni  0.333  0.333  0.333  -0.10
Ni  0.667  0.667  0.667  -0.10
Ni  0.418  0.418  0.919  -0.09
Ni  0.500  0.500  0.500  -0.06
Ni  0.919  0.418  0.418  -0.09
Ni  0.081  0.582  0.582  -0.09
Ho  0.000  0.000  0.000  0.03
Y  0.139  0.139  0.139  0.02
Y  0.861  0.861  0.861  0.02

***

A relaxed SmHfAl crystal, computed with GGA-PBE.

electronic total energy: -0.193 Ha/atom
space-group type: F-43m
total moment: 0.0 μB/f.u.

a b c (Å): 4.951 4.951 4.951
angles (deg): 60.00 60.00 60.00
Fractional coordinates of all 3 atoms:
Hf  0.750  0.750  0.750
Al  0.250  0.250  0.250
Sm  0.000  0.000  0.000

***

A relaxed TbDy2Ni2B2N3 crystal, computed with GGA-PBE.

electronic total energy: -0.277 Ha/atom
space-group type: I4/mmm
total moment: 0.0 μB/f.u.

a b c (Å): 10.338 10.338 10.338
angles (deg): 160.64 160.64 27.52
Fractional coordinates of all 10 atoms:
Dy  0.377  0.377  0.000
Dy  0.623  0.623  0.000
Ni  0.750  0.250  0.500
Ni  0.250  0.750  0.500
Tb  0.000  0.000  0.000
B  0.811  0.811  0.000
B  0.189  0.189  0.000
N  0.500  0.500  0.000
N  0.883  0.883  0.000
N  0.117  0.117  0.000

***

A relaxed TlSbPt crystal, computed with GGA-PBE.

electronic total energy: -0.160 Ha/atom
space-group type: F-43m
total moment: 0.0 μB/f.u.

a b c (Å): 4.690 4.690 4.690
angles (deg): 60.00 60.00 60.00
Fractional coordinates of all 3 atoms:
Sb  0.250  0.250  0.250
Pt  0.000  0.000  0.000
Tl  0.750  0.750  0.750